# 1
VASP calculation (PBE) on AsAu4Se after structural relaxation.

Computed properties:
- Energy: -19.072 eV per cell
- Crystal system: cubic

Lattice parameters (Å, degrees): 5.547 5.547 5.547 60.00 60.00 60.00
Positions (direct):
As1 0.000 0.000 0.000
Au1 0.375 0.875 0.375
Au2 0.875 0.375 0.375
Au3 0.375 0.375 0.875
Au4 0.375 0.375 0.375
Se1 0.750 0.750 0.750

***

# 2
VASP calculation (PBE) on La4CoCl5 after structural relaxation.

Computed properties:
- Energy: -52.825 eV per cell
- Crystal system: monoclinic

Lattice parameters (Å, degrees): 4.421 8.681 10.522 124.15 102.13 90.00
Positions (direct):
La1 0.644 0.209 0.288
La2 0.007 0.774 0.014
La3 0.356 0.791 0.712
La4 0.993 0.226 0.986
Co1 0.500 0.000 0.000
Cl1 0.176 0.034 0.351
Cl2 0.166 0.470 0.333
Cl3 0.834 0.530 0.667
Cl4 0.500 0.500 0.000
Cl5 0.824 0.966 0.649

***

> Number 1 is which compound?

AsAu4Se

***

> Number 1 is which compound?

AsAu4Se

***

> Which value of energy does entry 2 give?

-52.825 eV per cell

***

> What is the formula in the second record?

La4CoCl5